No. 1
The following is a PBE calculation of K2ZnAu3 after structural relaxation, from Alexandria via LeMat-Bulk.

a b c (Å): 5.6180 5.7307 9.7668
angles (deg): 90.00 90.00 90.00
Closest atoms and distances in Å follow each position.
Space group Pmma (No. 51)
Inequivalent atoms, fractional coordinates:
K: 0.2500 0.0000 0.1235 x2  10 Au 3.31-3.68, 2 K 3.70
K: 0.2500 0.5000 0.3667 x2  2 Zn 3.44, 6 Au 3.44-3.85, 4 K 3.72-3.83
Zn: 0.2500 0.0000 0.5608 x2  2 Au 2.58
Au: 0.0000 0.5000 0.0000 x2  6 Au 2.81-2.94
Au: 0.2500 0.2566 0.7781 x4  1 Zn 2.58, 1 Au 2.79

* calculated volume: 157.2 Å³/f.u.
* energy relative to the elements: -244.4 meV/atom
* distance to the lowest polymorph of the same formula: 0.0 meV/atom
* DOS(E_F): 2.89 states/eV per cell
* final energy: -29.54 eV per cell


No. 2
The following is a PBE calculation of TmScTcIr after structural relaxation, from Alexandria via LeMat-Bulk.

a b c (Å): 6.6049 6.6049 6.6049
angles (deg): 90.00 90.00 90.00
Closest atoms and distances in Å follow each position.
Space group F-43m (No. 216)
Inequivalent atoms, fractional coordinates:
Tm: 0.0000 0.0000 0.0000 x4  4 Tc 2.86, 4 Ir 2.86
Sc: 0.0000 0.0000 0.5000 x4  4 Tc 2.86, 4 Ir 2.86
Tc: 0.2500 0.2500 0.7500 x4  4 Tm 2.86, 4 Sc 2.86
Ir: 0.2500 0.2500 0.2500 x4  4 Tm 2.86, 4 Sc 2.86

* calculated volume: 72.0 Å³/f.u.
* energy relative to the elements: -473.1 meV/atom
* DOS(E_F): 19.67 states/eV per cell
* final energy: -127.69 eV per cell


No. 3
The following is a PBE calculation of Ba2SrHgH after structural relaxation, from Alexandria via LeMat-Bulk.

a b c (Å): 5.8625 5.8625 4.9943
angles (deg): 90.00 90.00 90.00
Closest atoms and distances in Å follow each position.
Space group P4/mmm (No. 123)
Inequivalent atoms, fractional coordinates:
Ba: 0.0000 0.5000 0.0000 x2  2 H 2.93
Sr: 0.0000 0.0000 0.5000 x1  2 H 2.50
Hg: 0.5000 0.5000 0.5000 x1  8 Ba 3.85, 4 Sr 4.15
H: 0.0000 0.0000 0.0000 x1  2 Sr 2.50

* calculated volume: 171.7 Å³/f.u.
* DOS(E_F): 3.12 states/eV per cell
* final energy: -10.49 eV per cell


No. 4
The following is a PBE calculation of Ni2Ru2Pt after structural relaxation, from Alexandria via LeMat-Bulk.

a b c (Å): 7.0713 7.0713 2.7280
angles (deg): 90.00 90.00 90.00
Closest atoms and distances in Å follow each position.
Space group P4/mbm (No. 127)
Inequivalent atoms, fractional coordinates:
Ni: 0.1701 0.3299 0.0000 x4  6 Ru 2.47-2.51, 2 Ni 2.73
Ru: 0.1243 0.6243 0.5000 x4  6 Ni 2.47-2.51, 3 Ru 2.49-2.73
Pt: 0.0000 0.0000 0.5000 x2  2 Pt 2.73, 4 Ru 2.80, 8 Ni 2.96

* calculated volume: 68.2 Å³/f.u.
* energy relative to the elements: 313.5 meV/atom
* distance to the lowest polymorph of the same formula: 59.8 meV/atom
* DOS(E_F): 19.05 states/eV per cell
* final energy: -69.17 eV per cell


No. 5
The following is a PBE calculation of TaTlBi2Ir after structural relaxation, from Alexandria via LeMat-Bulk.

a b c (Å): 5.4793 5.4793 4.9744
angles (deg): 90.00 90.00 90.00
Closest atoms and distances in Å follow each position.
Space group P4/mmm (No. 123)
Inequivalent atoms, fractional coordinates:
Ta: 0.0000 0.0000 0.0000 x1  2 Ir 2.49
Tl: 0.5000 0.5000 0.0000 x1  8 Bi 3.70, 4 Ta 3.87
Bi: 0.0000 0.5000 0.5000 x2  2 Ir 2.74
Ir: 0.0000 0.0000 0.5000 x1  2 Ta 2.49, 4 Bi 2.74

* calculated volume: 149.3 Å³/f.u.
* energy relative to the elements: 838.6 meV/atom
* DOS(E_F): 5.23 states/eV per cell
* final energy: -26.65 eV per cell


No. 6
The following is a PBE calculation of DyPaAlCu after structural relaxation, from Alexandria via LeMat-Bulk.

a b c (Å): 7.0581 7.0581 7.0581
angles (deg): 90.00 90.00 90.00
Closest atoms and distances in Å follow each position.
Space group F-43m (No. 216)
Inequivalent atoms, fractional coordinates:
Dy: 0.0000 0.0000 0.0000 x4  4 Cu 3.06, 4 Al 3.06
Pa: 0.0000 0.0000 0.5000 x4  4 Al 3.06, 4 Cu 3.06
Al: 0.2500 0.2500 0.7500 x4  4 Dy 3.06, 4 Pa 3.06
Cu: 0.2500 0.2500 0.2500 x4  4 Dy 3.06, 4 Pa 3.06

* calculated volume: 87.9 Å³/f.u.
* energy relative to the elements: -2.7 meV/atom
* DOS(E_F): 17.94 states/eV per cell
* final energy: -87.79 eV per cell


No. 7
The following is a PBE calculation of UNiBiS4 after structural relaxation, from Alexandria via LeMat-Bulk.

a b c (Å): 6.4084 5.8074 7.8957
angles (deg): 90.00 105.79 90.00
Closest atoms and distances in Å follow each position.
Space group P2_1/m (No. 11)
Inequivalent atoms, fractional coordinates:
U: 0.2442 0.2500 0.0506 x2  6 S 2.71-2.83
Ni: 0.2350 0.7500 0.8526 x2  4 S 2.15-2.32
Bi: 0.2768 0.2500 0.5415 x2  4 S 2.71-2.98
S: 0.0133 0.5087 0.2312 x4  1 Ni 2.16
S: 0.4142 0.7500 0.6343 x2  1 Ni 2.32
S: 0.4403 0.7500 0.1179 x2  1 Ni 2.15

* calculated volume: 141.4 Å³/f.u.
* energy relative to the elements, uncorrected: -0.692 eV per atom
* DOS(E_F): 15.45 states/eV per cell
* final energy: -84.61 eV per cell


No. 8
The following is a PBE calculation of YVPt2 after structural relaxation, from Alexandria via LeMat-Bulk.

a b c (Å): 6.6723 6.6723 6.6723
angles (deg): 90.00 90.00 90.00
Closest atoms and distances in Å follow each position.
Space group Fm-3m (No. 225)
Inequivalent atoms, fractional coordinates:
Y: 0.0000 0.0000 0.0000 x4  8 Pt 2.89
V: 0.0000 0.0000 0.5000 x4  8 Pt 2.89
Pt: 0.2500 0.2500 0.2500 x8  4 Y 2.89, 4 V 2.89

* calculated volume: 74.3 Å³/f.u.
* energy relative to the elements: -590.8 meV/atom
* distance to the lowest polymorph of the same formula: 0.0 meV/atom
* DOS(E_F): 24.10 states/eV per cell
* final energy: -120.11 eV per cell


No. 9
The following is a PBE calculation of Pr6Sm12Sc after structural relaxation, from Alexandria via LeMat-Bulk.

a b c (Å): 12.2372 12.2372 15.1900
angles (deg): 90.00 90.00 120.00
Closest atoms and distances in Å follow each position.
Space group R-3 (No. 148, hexagonal axes)
Inequivalent atoms, fractional coordinates:
Pr: 0.0155 0.4236 0.1852 x18  7 Sm 3.44-3.76, 1 Sc 3.53, 2 Pr 3.57
Sm: 0.0012 0.8314 0.6883 x18  4 Sm 3.49-3.70, 4 Pr 3.52-3.76, 1 Sc 3.53
Sm: 0.0503 0.8546 0.9157 x18  6 Sm 3.35-3.73, 3 Pr 3.44-3.47
Sc: 0.0000 0.0000 0.5000 x3  6 Sm 3.53, 6 Pr 3.53

* calculated volume: 656.6 Å³/f.u.
* energy relative to the elements: 135.0 meV/atom
* DOS(E_F): 94.39 states/eV per cell
* final energy: -267.22 eV per cell


No. 10
The following is a PBE calculation of TaAlZn2 after structural relaxation, from Alexandria via LeMat-Bulk.

a b c (Å): 3.7954 3.7954 8.7725
angles (deg): 90.00 90.00 90.00
Closest atoms and distances in Å follow each position.
Space group I4/mmm (No. 139)
Inequivalent atoms, fractional coordinates:
Ta: 0.0000 0.0000 0.0000 x2  4 Al 2.68, 8 Zn 2.90
Al: 0.0000 0.0000 0.5000 x2  4 Ta 2.68, 8 Zn 2.90
Zn: 0.0000 0.5000 0.2500 x4  4 Zn 2.68, 4 Al 2.90, 4 Ta 2.90

* calculated volume: 63.2 Å³/f.u.
* energy relative to the elements: 13.5 meV/atom
* DOS(E_F): 5.02 states/eV per cell
* final energy: -36.18 eV per cell


No. 11
The following is a PBE calculation of Nd2Ga3AgPt4 after structural relaxation, from Alexandria via LeMat-Bulk.

a b c (Å): 4.1065 4.1065 11.6828
angles (deg): 90.00 90.00 90.00
Closest atoms and distances in Å follow each position.
Space group P-4m2 (No. 115)
Inequivalent atoms, fractional coordinates:
Nd: 0.0000 0.5000 0.2497 x2  4 Pt 3.09, 4 Ga 3.24
Ga: 0.0000 0.0000 0.0000 x1  4 Pt 2.77, 4 Ag 2.90
Ga: 0.0000 0.5000 0.6277 x2  5 Pt 2.49-2.54
Ag: 0.5000 0.5000 0.0000 x1  4 Pt 2.77, 4 Ga 2.90
Pt: 0.0000 0.0000 0.5000 x1  4 Ga 2.54
Pt: 0.0000 0.5000 0.8411 x2  3 Ga 2.49-2.77, 2 Ag 2.77
Pt: 0.5000 0.5000 0.5000 x1  4 Ga 2.54

* calculated volume: 197.0 Å³/f.u.
* energy relative to the elements: -850.0 meV/atom
* DOS(E_F): 3.46 states/eV per cell
* final energy: -54.13 eV per cell


No. 12
The following is a PBE calculation of CaThP after structural relaxation, from Alexandria via LeMat-Bulk.

a b c (Å): 3.9187 3.9187 13.8760
angles (deg): 90.00 90.00 120.00
Closest atoms and distances in Å follow each position.
Space group P-6m2 (No. 187)
Inequivalent atoms, fractional coordinates:
Ca: 0.0000 0.0000 0.1181 x2  3 P 2.79
Th: 0.3333 0.6667 0.3674 x2  3 P 2.92
P: 0.0000 0.0000 0.5000 x1  6 Th 2.92
P: 0.3333 0.6667 0.0000 x1  6 Ca 2.79

* calculated volume: 92.3 Å³/f.u.
* energy relative to the elements: -569.5 meV/atom
* DOS(E_F): 7.68 states/eV per cell
* final energy: -33.08 eV per cell